Record 1
La2Ag (PBE, relaxed); uncorrected energy = -4.3805 eV/atom; total magnetization = 0.0 Bohr magnetons per cell
1.0
1.9036 -8.6215 0.0000
1.9036 8.6215 0.0000
0.0000 0.0000 5.6587
La Ag
4 2
Direct
0.0796 0.9204 0.7500
0.2265 0.7735 0.2500
0.7735 0.2265 0.7500
0.9204 0.0796 0.2500
0.4238 0.5762 0.7500
0.5762 0.4238 0.2500



Record 2
DySnSe4 (PBE, relaxed); total magnetization = 0.0 Bohr magnetons per cell; formation energy without anion corrections = -0.83 eV/atom
1.0
7.2791 0.0000 0.0000
0.0000 7.2791 0.0000
0.0000 0.0000 6.0509
Dy Sn Se
2 2 8
Direct
0.2500 0.2500 0.0000
0.7500 0.7500 0.0000
0.2500 0.7500 0.5000
0.7500 0.2500 0.5000
0.0453 0.5453 0.2365
0.0453 0.9547 0.7635
0.4547 0.5453 0.7635
0.4547 0.9547 0.2365
0.5453 0.0453 0.7635
0.5453 0.4547 0.2365
0.9547 0.0453 0.2365
0.9547 0.4547 0.7635



Record 3
NaSm2Te4Pb (PBE, relaxed); total magnetization = 0.0 Bohr magnetons per cell; formation energy without anion corrections = -1.07 eV/atom
1.0
7.7242 0.0000 0.0000
0.0000 4.4649 0.0000
-2.5534 0.0000 7.6549
Na Sm Te Pb
1 2 4 1
Direct
0.0000 0.0000 0.0000
0.0000 0.5000 0.5000
0.5000 0.0000 0.5000
0.2454 0.0000 0.7434
0.2525 0.5000 0.2590
0.7475 0.5000 0.7410
0.7546 0.0000 0.2566
0.5000 0.5000 0.0000